No. 1
Entry from Alexandria: a relaxed Li3PrZn9 crystal (PBE).

Structure (POSCAR):
```
Li3PrZn9
1.0
2.449 -6.525 0.000
2.449 6.525 0.000
-2.323 0.000 6.518
Li Pr Zn
3 1 9
Cartesian
0.000 0.000 0.000
0.063 3.263 3.259
0.063 -3.263 3.259
-1.162 0.000 3.259
1.314 4.197 0.949
1.280 1.478 1.812
1.261 4.197 5.568
1.295 1.478 4.706
2.449 0.000 0.000
1.280 -1.478 1.812
1.314 -4.197 0.949
1.295 -1.478 4.706
1.261 -4.197 5.568
```

## Properties
- SG: C2/m, No. 12
- Energy of formation: -0.209 eV/atom
- Total energy: -1.90 eV per atom
- N(E_F): 3.76 states/eV/f.u.
- Mass density: 6.0 Mg/m³

=====

No. 2
Entry from Alexandria: a relaxed Li2PrZn9 crystal (PBE).

Structure (POSCAR):
```
Li2PrZn9
1.0
8.782 0.000 0.000
-4.391 7.606 0.000
0.000 0.000 2.969
Li Pr Zn
2 1 9
Cartesian
0.000 5.070 0.000
4.391 2.535 0.000
0.000 0.000 0.000
-2.196 3.803 0.000
0.000 2.822 1.484
-1.947 6.195 1.484
2.444 1.411 1.484
4.391 0.000 0.000
2.196 3.803 0.000
1.947 6.195 1.484
6.339 1.411 1.484
4.391 4.784 1.484
```

## Properties
- SG: P6/mmm, No. 191
- Energy of formation: -0.089 eV/atom
- Total energy: -1.76 eV per atom
- N(E_F): 3.26 states/eV/f.u.
- Mass density: 6.2 Mg/m³

=====

No. 3
Entry from Alexandria: a relaxed Li6PrZn12 crystal (PBE).

Structure (POSCAR):
```
Li6PrZn12
1.0
5.600 3.233 2.877
-5.600 3.233 2.877
0.000 -6.466 2.877
Li Pr Zn
6 1 12
Cartesian
0.000 -2.819 3.596
-2.441 1.410 3.596
-2.441 -1.410 5.034
2.441 1.410 3.597
2.441 -1.410 5.034
0.000 2.819 5.034
0.000 0.000 0.000
-2.161 -3.742 4.315
-4.321 0.000 4.315
-1.439 -0.831 2.737
1.439 -0.831 2.737
0.000 1.661 2.737
2.161 -3.742 4.315
-2.161 3.742 4.315
0.000 -1.661 5.893
-1.439 0.831 5.893
1.439 0.831 5.893
4.321 0.000 4.315
2.161 3.742 4.315
```

## Properties
- SG: R-3m, No. 166
- Energy of formation: -0.048 eV/atom
- Total energy: -1.71 eV per atom
- N(E_F): 4.29 states/eV/f.u.
- Mass density: 5.1 Mg/m³

=====

No. 4
Entry from Alexandria: a relaxed Li2PrZn6 crystal (PBE).

Structure (POSCAR):
```
Li2PrZn6
1.0
7.890 0.000 0.000
-3.945 6.833 0.000
0.000 0.000 3.157
Li Pr Zn
2 1 6
Cartesian
0.000 4.555 0.000
3.945 2.278 0.000
0.000 0.000 0.000
-1.358 2.352 1.578
-2.587 4.481 1.578
2.716 0.000 1.578
1.358 2.352 1.578
5.175 0.000 1.578
2.587 4.481 1.578
```

## Properties
- SG: P6/mmm, No. 191
- Energy of formation: -0.127 eV/atom
- Total energy: -1.93 eV per atom
- N(E_F): 4.99 states/eV/f.u.
- Mass density: 5.3 Mg/m³

=====

No. 5
Entry from Alexandria: a relaxed Li3Pr3Zn8 crystal (PBE).

Structure (POSCAR):
```
Li3Pr3Zn8
1.0
-2.299 4.333 7.028
2.299 -4.333 7.028
2.299 4.333 -7.028
Li Pr Zn
3 3 8
Cartesian
0.000 0.000 0.000
2.299 1.666 0.000
0.000 2.667 7.028
2.299 0.000 3.009
0.000 4.333 0.000
0.000 4.333 4.018
2.299 -2.511 5.081
2.299 3.071 -2.226
0.000 1.822 1.947
0.000 1.262 4.802
2.299 3.071 2.226
2.299 2.511 5.081
0.000 1.262 9.253
0.000 6.844 1.947
```

## Properties
- SG: Immm, No. 71
- Energy of formation: -0.275 eV/atom
- Total energy: -2.44 eV per atom
- N(E_F): 9.48 states/eV/f.u.
- Mass density: 5.7 Mg/m³

=====

No. 6
Entry from Alexandria: a relaxed LiPr4Zn5 crystal (PBE).

Structure (POSCAR):
```
LiPr4Zn5
1.0
3.663 0.000 0.000
0.000 3.663 0.000
0.000 0.000 17.849
Li Pr Zn
1 4 5
Cartesian
0.000 0.000 0.000
0.000 0.000 3.315
0.000 0.000 7.038
0.000 0.000 10.811
0.000 0.000 14.534
1.832 1.832 1.361
1.832 1.832 5.180
1.832 1.832 8.925
1.832 1.832 12.669
1.832 1.832 16.488
```

## Properties
- SG: P4/mmm, No. 123
- Energy of formation: -0.243 eV/atom
- Total energy: -2.98 eV per atom
- N(E_F): 9.40 states/eV/f.u.
- Mass density: 6.2 Mg/m³

=====

No. 7
Entry from Alexandria: a relaxed LiPr3Zn4 crystal (PBE).

Structure (POSCAR):
```
LiPr3Zn4
1.0
2.552 1.473 8.459
-2.552 1.473 8.459
0.000 -2.946 8.459
Li Pr Zn
1 3 4
Cartesian
0.000 0.000 0.000
0.000 0.000 6.489
0.000 0.000 12.688
0.000 0.000 18.888
0.000 0.000 3.101
0.000 0.000 9.497
0.000 0.000 15.880
0.000 0.000 22.276
```

## Properties
- SG: R-3m, No. 166
- Energy of formation: -0.245 eV/atom
- Total energy: -2.91 eV per atom
- N(E_F): 5.88 states/eV/f.u.
- Mass density: 6.0 Mg/m³

=====

No. 8
Entry from Alexandria: a relaxed Li2PrZn9 crystal (PBE).

Structure (POSCAR):
```
Li2PrZn9
1.0
2.654 1.532 8.403
-2.654 1.532 8.403
0.000 -3.064 8.403
Li Pr Zn
2 1 9
Cartesian
0.000 0.000 3.617
0.000 0.000 21.593
0.000 0.000 0.000
-1.354 -0.782 10.592
0.000 0.000 8.433
0.000 -1.563 14.617
-1.354 0.782 14.617
0.000 0.000 12.605
1.354 -0.782 10.592
0.000 1.563 10.592
0.000 0.000 16.776
1.354 0.782 14.617
```

## Properties
- SG: R-3m, No. 166
- Energy of formation: -0.211 eV/atom
- Total energy: -1.88 eV per atom
- N(E_F): 4.92 states/eV/f.u.
- Mass density: 6.0 Mg/m³

=====

No. 9
Entry from Alexandria: a relaxed LiPr2Zn9 crystal (PBE).

Structure (POSCAR):
```
LiPr2Zn9
1.0
2.758 1.593 8.723
-2.758 1.593 8.723
0.000 -3.185 8.723
Li Pr Zn
1 2 9
Cartesian
0.000 0.000 0.000
0.000 0.000 3.652
0.000 0.000 22.517
-1.390 -0.803 10.832
0.000 0.000 8.752
0.000 -1.605 15.337
-1.390 0.803 15.337
0.000 0.000 13.084
1.390 -0.803 10.832
0.000 1.605 10.832
0.000 0.000 17.417
1.390 0.803 15.337
```

## Properties
- SG: R-3m, No. 166
- Energy of formation: -0.165 eV/atom
- Total energy: -2.08 eV per atom
- N(E_F): 6.11 states/eV/f.u.
- Mass density: 6.3 Mg/m³

=====

No. 10
Entry from Alexandria: a relaxed LiPrZn2 crystal (PBE).

Structure (POSCAR):
```
LiPrZn2
1.0
5.077 0.000 0.000
0.000 5.077 0.000
0.000 0.000 3.488
Li Pr Zn
1 1 2
Cartesian
0.000 0.000 0.000
2.539 2.539 0.000
0.000 2.539 1.744
2.539 0.000 1.744
```

## Properties
- SG: P4/mmm, No. 123
- Energy of formation: -0.125 eV/atom
- Total energy: -2.44 eV per atom
- N(E_F): 2.61 states/eV/f.u.
- Mass density: 5.1 Mg/m³

=====

No. 11
Entry from Alexandria: a relaxed LiPr2Zn7 crystal (PBE).

Structure (POSCAR):
```
LiPr2Zn7
1.0
4.309 0.000 0.000
0.000 4.309 0.000
0.000 0.000 10.614
Li Pr Zn
1 2 7
Cartesian
0.000 0.000 0.000
0.000 2.154 7.833
2.154 0.000 2.781
0.000 0.000 5.307
0.000 2.154 1.461
0.000 2.154 3.931
2.154 0.000 6.683
2.154 0.000 9.154
2.154 2.154 0.000
2.154 2.154 5.307
```

## Properties
- SG: P-4m2, No. 115
- Energy of formation: -0.274 eV/atom
- Total energy: -2.31 eV per atom
- N(E_F): 6.94 states/eV/f.u.
- Mass density: 6.3 Mg/m³

=====

No. 12
Entry from Alexandria: a relaxed LiPrZn3 crystal (PBE).

Structure (POSCAR):
```
LiPrZn3
1.0
4.602 0.000 0.000
0.000 4.602 0.000
0.000 0.000 4.602
Li Pr Zn
1 1 3
Cartesian
0.000 0.000 0.000
2.301 2.301 2.301
0.000 0.000 2.301
0.000 2.301 0.000
2.301 0.000 0.000
```

## Properties
- SG: Pm-3m, No. 221
- Energy of formation: -0.106 eV/atom
- Total energy: -2.21 eV per atom
- N(E_F): 3.06 states/eV/f.u.
- Mass density: 5.9 Mg/m³